--- w ---
TlSi2Rh | PBE-GGA | relaxed

Results
Density (Mg/m³): 8.767
DOS(E_F) (states/eV/cell): 4.4

a = 4.2085 Å, b = 4.2085 Å, c = 7.7738 Å
α = 90.00°, β = 90.00°, γ = 90.00°
Space group I-4m2 (No. 119)
Symmetry-distinct sites (fractional):
1 Tl 0.0000 0.0000 0.0000 [2 per cell]
2 Si 0.0000 0.0000 0.5000 [2 per cell]
3 Si 0.0000 0.5000 0.2500 [2 per cell]
4 Rh 0.0000 0.5000 0.7500 [2 per cell]

=====

--- x ---
TlSi2Rh | PBE-GGA | relaxed

Results
Density (Mg/m³): 8.602
DOS(E_F) (states/eV/cell): 4.7

a = 5.3803 Å, b = 7.7083 Å, c = 3.3836 Å
α = 90.00°, β = 90.00°, γ = 90.00°
Space group Cmmm (No. 65)
Symmetry-distinct sites (fractional):
1 Tl 0.0000 0.0000 0.0000 [2 per cell]
2 Si 0.2500 0.2500 0.5000 [4 per cell]
3 Rh 0.0000 0.5000 0.0000 [2 per cell]

=====

--- y ---
TlSi2Rh | PBE-GGA | relaxed

Results
Density (Mg/m³): 7.491
DOS(E_F) (states/eV/cell): 1.4

a = 4.2344 Å, b = 4.1497 Å, c = 4.7207 Å
α = 90.00°, β = 103.76°, γ = 90.00°
Space group P2/m (No. 10)
Symmetry-distinct sites (fractional):
1 Tl 0.0000 0.0000 0.0000 [1 per cell]
2 Si 0.4423 0.5000 0.7432 [2 per cell]
3 Rh 0.5000 0.0000 0.5000 [1 per cell]

=====

Most stable structure: y

=====

--- w ---
TlSiRh3 | PBE-GGA | relaxed

Results
Density (Mg/m³): 7.540
DOS(E_F) (states/eV/cell): 3.0

a = 4.9212 Å, b = 4.9212 Å, c = 4.9212 Å
α = 90.00°, β = 90.00°, γ = 90.00°
Space group Pm-3m (No. 221)
Symmetry-distinct sites (fractional):
1 Tl 0.0000 0.0000 0.0000 [1 per cell]
2 Si 0.5000 0.5000 0.5000 [1 per cell]
3 Rh 0.0000 0.0000 0.5000 [3 per cell]

=====

--- x ---
TlSiRh3 | PBE-GGA | relaxed

Results
Density (Mg/m³): 10.196
DOS(E_F) (states/eV/cell): 0.6

a = 4.4503 Å, b = 4.4503 Å, c = 4.4503 Å
α = 90.00°, β = 90.00°, γ = 90.00°
Space group Pm-3m (No. 221)
Symmetry-distinct sites (fractional):
1 Tl 0.0000 0.0000 0.0000 [1 per cell]
2 Si 0.5000 0.5000 0.5000 [1 per cell]
3 Rh 0.0000 0.5000 0.5000 [3 per cell]

=====

Most stable structure: x

=====

--- w ---
Tm3Si3Rh2 | PBE-GGA | relaxed

Results
Density (Mg/m³): 8.695
DOS(E_F) (states/eV/cell): 17.7

a = 7.9305 Å, b = 13.8163 Å, c = 5.5558 Å
α = 90.00°, β = 90.00°, γ = 90.00°
Space group Pnma (No. 62)
Symmetry-distinct sites (fractional):
1 Tm 0.0447 0.1139 0.1199 [8 per cell]
2 Tm 0.1942 0.2500 0.6263 [4 per cell]
3 Si 0.1601 0.7500 0.6025 [4 per cell]
4 Si 0.2009 0.0394 0.6274 [8 per cell]
5 Rh 0.0813 0.5926 0.3888 [8 per cell]

=====

--- x ---
Tm3Si3Rh2 | PBE-GGA | relaxed

Results
Density (Mg/m³): 8.909
DOS(E_F) (states/eV/cell): 15.5

a = 4.1574 Å, b = 10.5237 Å, c = 13.5801 Å
α = 90.00°, β = 90.00°, γ = 90.00°
Space group Cmcm (No. 63)
Symmetry-distinct sites (fractional):
1 Tm 0.0000 0.0787 0.1142 [8 per cell]
2 Tm 0.0000 0.3554 0.2500 [4 per cell]
3 Si 0.0000 0.3385 0.7500 [4 per cell]
4 Si 0.0000 0.3917 0.0392 [8 per cell]
5 Rh 0.0000 0.2137 0.5825 [8 per cell]

=====

Most stable structure: x

=====

--- w ---
USi2Rh2 | PBE-GGA | relaxed

Results
Density (Mg/m³): 10.172
DOS(E_F) (states/eV/cell): 15.9

a = 4.0189 Å, b = 4.0189 Å, c = 10.1070 Å
α = 90.00°, β = 90.00°, γ = 90.00°
Space group I4/mmm (No. 139)
Symmetry-distinct sites (fractional):
1 U 0.0000 0.0000 0.0000 [2 per cell]
2 Si 0.0000 0.0000 0.3834 [4 per cell]
3 Rh 0.0000 0.5000 0.2500 [4 per cell]

=====

--- x ---
USi2Rh2 | PBE-GGA | relaxed

Results
Density (Mg/m³): 6.416
DOS(E_F) (states/eV/cell): 23.0

a = 3.9841 Å, b = 3.9841 Å, c = 16.3060 Å
α = 90.00°, β = 90.00°, γ = 90.00°
Space group I4/mmm (No. 139)
Symmetry-distinct sites (fractional):
1 U 0.0000 0.0000 0.0000 [2 per cell]
2 Si 0.0000 0.0000 0.1755 [4 per cell]
3 Rh 0.0000 0.5000 0.2500 [4 per cell]

=====

Most stable structure: w

=====

--- w ---
Si2RhW | PBE-GGA | relaxed

Results
Density (Mg/m³): 10.117
DOS(E_F) (states/eV/cell): 12.0

a = 2.8365 Å, b = 2.8365 Å, c = 24.2335 Å
α = 90.00°, β = 90.00°, γ = 120.00°
Space group R-3m (No. 166, hexagonal axes)
Symmetry-distinct sites (fractional):
1 Si 0.0000 0.0000 0.2456 [6 per cell]
2 Rh 0.0000 0.0000 0.5000 [3 per cell]
3 W 0.0000 0.0000 0.0000 [3 per cell]

=====

--- x ---
Si2RhW | PBE-GGA | relaxed

Results
Density (Mg/m³): 10.143
DOS(E_F) (states/eV/cell): 2.4

a = 2.7992 Å, b = 4.5680 Å, c = 4.3902 Å
α = 90.00°, β = 90.00°, γ = 90.00°
Space group Pmm2 (No. 25)
Symmetry-distinct sites (fractional):
1 Si 0.0000 0.0000 0.0000 [1 per cell]
2 Si 0.5000 0.5000 0.2080 [1 per cell]
3 Rh 0.5000 0.0000 0.4799 [1 per cell]
4 W 0.0000 0.5000 0.7112 [1 per cell]

=====

--- y ---
Si2RhW | PBE-GGA | relaxed

Results
Density (Mg/m³): 10.140
DOS(E_F) (states/eV/cell): 3.0

a = 3.4546 Å, b = 4.4496 Å, c = 7.3066 Å
α = 90.00°, β = 90.00°, γ = 90.00°
Space group Cmmm (No. 65)
Symmetry-distinct sites (fractional):
1 Si 0.0000 0.0000 0.2386 [4 per cell]
2 Rh 0.0000 0.5000 0.0000 [2 per cell]
3 W 0.0000 0.5000 0.5000 [2 per cell]

=====

--- z ---
Si2RhW | PBE-GGA | relaxed

Results
Density (Mg/m³): 9.992
DOS(E_F) (states/eV/cell): 1.5

a = 2.8350 Å, b = 3.8141 Å, c = 5.2701 Å
α = 90.00°, β = 90.00°, γ = 90.00°
Space group Pmmm (No. 47)
Symmetry-distinct sites (fractional):
1 Si 0.0000 0.0000 0.2335 [2 per cell]
2 Rh 0.0000 0.5000 0.5000 [1 per cell]
3 W 0.5000 0.5000 0.0000 [1 per cell]

=====

Most stable structure: z

=====

--- w ---
Si2RhW | PBE-GGA | relaxed

Results
Density (Mg/m³): 10.302
DOS(E_F) (states/eV/cell): 3.3

a = 9.1360 Å, b = 2.8491 Å, c = 4.4354 Å
α = 90.00°, β = 106.77°, γ = 90.00°
Space group Cm (No. 8)
Symmetry-distinct sites (fractional):
1 Si 0.0000 0.0000 0.0000 [2 per cell]
2 Si 0.2439 0.5000 0.3695 [2 per cell]
3 Rh 0.4890 0.0000 0.4816 [2 per cell]
4 W 0.2522 0.0000 0.8790 [2 per cell]

=====

--- x ---
Si2RhW | PBE-GGA | relaxed

Results
Density (Mg/m³): 9.898
DOS(E_F) (states/eV/cell): 10.0

a = 2.8902 Å, b = 2.8902 Å, c = 23.8565 Å
α = 90.00°, β = 90.00°, γ = 120.00°
Space group R3m (No. 160, hexagonal axes)
Symmetry-distinct sites (fractional):
1 Si 0.0000 0.0000 0.0000 [3 per cell]
2 Si 0.0000 0.0000 0.2532 [3 per cell]
3 Rh 0.0000 0.0000 0.7416 [3 per cell]
4 W 0.0000 0.0000 0.5014 [3 per cell]

=====

--- y ---
Si2RhW | PBE-GGA | relaxed

Results
Density (Mg/m³): 9.197
DOS(E_F) (states/eV/cell): 14.5

a = 6.4874 Å, b = 6.4874 Å, c = 5.8845 Å
α = 90.00°, β = 90.00°, γ = 90.00°
Space group I-42d (No. 122)
Symmetry-distinct sites (fractional):
1 Si 0.2272 0.2500 0.1250 [8 per cell]
2 Rh 0.0000 0.0000 0.0000 [4 per cell]
3 W 0.0000 0.0000 0.5000 [4 per cell]

=====

Most stable structure: w

=====

--- w ---
Si2RhW | PBE-GGA | relaxed

Results
Density (Mg/m³): 9.753
DOS(E_F) (states/eV/cell): 1.6

a = 2.7361 Å, b = 2.7361 Å, c = 7.7990 Å
α = 90.00°, β = 90.00°, γ = 90.00°
Space group P4mm (No. 99)
Symmetry-distinct sites (fractional):
1 Si 0.0000 0.0000 0.0000 [1 per cell]
2 Si 0.5000 0.5000 0.2849 [1 per cell]
3 Rh 0.5000 0.5000 0.7878 [1 per cell]
4 W 0.0000 0.0000 0.5324 [1 per cell]

=====

--- x ---
Si2RhW | PBE-GGA | relaxed

Results
Density (Mg/m³): 10.118
DOS(E_F) (states/eV/cell): 3.6

a = 3.2079 Å, b = 3.2079 Å, c = 5.4690 Å
α = 90.00°, β = 90.00°, γ = 90.00°
Space group P4mm (No. 99)
Symmetry-distinct sites (fractional):
1 Si 0.0000 0.0000 0.0000 [1 per cell]
2 Si 0.5000 0.5000 0.2677 [1 per cell]
3 Rh 0.5000 0.5000 0.8107 [1 per cell]
4 W 0.0000 0.0000 0.4741 [1 per cell]

=====

Most stable structure: x

=====

--- w ---
Si2RhW | PBE-GGA | relaxed

Results
Density (Mg/m³): 10.203
DOS(E_F) (states/eV/cell): 3.2

a = 3.5404 Å, b = 3.5404 Å, c = 8.9048 Å
α = 90.00°, β = 90.00°, γ = 90.00°
Space group I-4m2 (No. 119)
Symmetry-distinct sites (fractional):
1 Si 0.0000 0.0000 0.0000 [2 per cell]
2 Si 0.0000 0.5000 0.2500 [2 per cell]
3 Rh 0.0000 0.0000 0.5000 [2 per cell]
4 W 0.0000 0.5000 0.7500 [2 per cell]

=====

--- x ---
Si2RhW | PBE-GGA | relaxed

Results
Density (Mg/m³): 10.081
DOS(E_F) (states/eV/cell): 3.3

a = 8.1695 Å, b = 2.7414 Å, c = 5.1797 Å
α = 90.00°, β = 103.13°, γ = 90.00°
Space group C2/m (No. 12)
Symmetry-distinct sites (fractional):
1 Si 0.2435 0.0000 0.2455 [4 per cell]
2 Rh 0.0000 0.5000 0.0000 [2 per cell]
3 W 0.0000 0.0000 0.5000 [2 per cell]

=====

--- y ---
Si2RhW | PBE-GGA | relaxed

Results
Density (Mg/m³): 10.464
DOS(E_F) (states/eV/cell): 7.2

a = 6.0153 Å, b = 6.0153 Å, c = 6.0153 Å
α = 90.00°, β = 90.00°, γ = 90.00°
Space group Fm-3m (No. 225)
Symmetry-distinct sites (fractional):
1 Si 0.2500 0.2500 0.2500 [8 per cell]
2 Rh 0.0000 0.0000 0.0000 [4 per cell]
3 W 0.0000 0.0000 0.5000 [4 per cell]

=====

--- z ---
Si2RhW | PBE-GGA | relaxed

Results
Density (Mg/m³): 10.142
DOS(E_F) (states/eV/cell): 6.2

a = 2.9512 Å, b = 4.0897 Å, c = 9.3035 Å
α = 90.00°, β = 90.00°, γ = 90.00°
Space group Imm2 (No. 44)
Symmetry-distinct sites (fractional):
1 Si 0.0000 0.0000 0.0000 [2 per cell]
2 Si 0.0000 0.5000 0.2373 [2 per cell]
3 Rh 0.0000 0.0000 0.5215 [2 per cell]
4 W 0.0000 0.5000 0.7575 [2 per cell]

=====

Most stable structure: y

=====

--- w ---
Si2RhW | PBE-GGA | relaxed

Results
Density (Mg/m³): 10.446
DOS(E_F) (states/eV/cell): 2.4

a = 4.3071 Å, b = 4.3071 Å, c = 2.9384 Å
α = 90.00°, β = 90.00°, γ = 90.00°
Space group P4/mmm (No. 123)
Symmetry-distinct sites (fractional):
1 Si 0.0000 0.5000 0.0000 [2 per cell]
2 Rh 0.0000 0.0000 0.5000 [1 per cell]
3 W 0.5000 0.5000 0.5000 [1 per cell]

=====

--- x ---
Si2RhW | PBE-GGA | relaxed

Results
Density (Mg/m³): 9.865
DOS(E_F) (states/eV/cell): 9.6

a = 6.1348 Å, b = 6.1348 Å, c = 6.1348 Å
α = 90.00°, β = 90.00°, γ = 90.00°
Space group F-43m (No. 216)
Symmetry-distinct sites (fractional):
1 Si 0.0000 0.0000 0.0000 [4 per cell]
2 Si 0.2500 0.2500 0.2500 [4 per cell]
3 Rh 0.0000 0.0000 0.5000 [4 per cell]
4 W 0.2500 0.2500 0.7500 [4 per cell]

=====

Most stable structure: w

=====

--- w ---
SiRhW3 | PBE-GGA | relaxed

Results
Density (Mg/m³): 12.912
DOS(E_F) (states/eV/cell): 6.5

a = 4.4441 Å, b = 4.4441 Å, c = 4.4441 Å
α = 90.00°, β = 90.00°, γ = 90.00°
Space group Pm-3m (No. 221)
Symmetry-distinct sites (fractional):
1 Si 0.0000 0.0000 0.0000 [1 per cell]
2 Rh 0.5000 0.5000 0.5000 [1 per cell]
3 W 0.0000 0.0000 0.5000 [3 per cell]

=====

--- x ---
SiRhW3 | PBE-GGA | relaxed

Results
Density (Mg/m³): 10.993
DOS(E_F) (states/eV/cell): 5.6

a = 4.6891 Å, b = 4.6891 Å, c = 4.6891 Å
α = 90.00°, β = 90.00°, γ = 90.00°
Space group Pm-3m (No. 221)
Symmetry-distinct sites (fractional):
1 Si 0.0000 0.0000 0.0000 [1 per cell]
2 Rh 0.5000 0.5000 0.5000 [1 per cell]
3 W 0.0000 0.5000 0.5000 [3 per cell]

=====

Most stable structure: w

=====

--- w ---
SiRh3W | PBE-GGA | relaxed

Results
Density (Mg/m³): 10.468
DOS(E_F) (states/eV/cell): 6.6

a = 4.3549 Å, b = 4.3549 Å, c = 4.3549 Å
α = 90.00°, β = 90.00°, γ = 90.00°
Space group Pm-3m (No. 221)
Symmetry-distinct sites (fractional):
1 Si 0.0000 0.0000 0.0000 [1 per cell]
2 Rh 0.0000 0.0000 0.5000 [3 per cell]
3 W 0.5000 0.5000 0.5000 [1 per cell]

=====

--- x ---
SiRh3W | PBE-GGA | relaxed

Results
Density (Mg/m³): 8.338
DOS(E_F) (states/eV/cell): 3.9

a = 4.6979 Å, b = 4.6979 Å, c = 4.6979 Å
α = 90.00°, β = 90.00°, γ = 90.00°
Space group Pm-3m (No. 221)
Symmetry-distinct sites (fractional):
1 Si 0.0000 0.0000 0.0000 [1 per cell]
2 Rh 0.0000 0.5000 0.5000 [3 per cell]
3 W 0.5000 0.5000 0.5000 [1 per cell]

=====

Most stable structure: w